Entry 1:
# B2RuWI

A geometry-optimized B2RuWI structure (GGA-PBE, Alexandria).

Output
Fermi-level density of states (states/eV/cell): 5.924
Size of the total moment (μB per atom): 0.000
Crystal system: tetragonal
Space group: P4/mmm
ΔE_f (raw) (eV per atom): 3.07

extended XYZ file:
```
5
Lattice="-3.863 0.750 1.340 -0.736 -5.158 0.765 1.421 0.374 3.888" Properties=species:S:1:pos:R:3 pbc="T T T"
I 0.000 0.000 0.000
Ru -1.589 -2.017 2.996
B 0.711 0.187 1.944
B -1.931 0.375 0.670
W -0.368 -2.579 0.382
```



Entry 2:
# TlFe2Os

A geometry-optimized TlFe2Os structure (GGA-PBE, Alexandria).

Output
Fermi-level density of states (states/eV/cell): 3.444
Size of the total moment (μB per atom): 1.500
Distance to the lowest polymorph of the same formula (meV/atom): 160
Crystal system: cubic
Space group: F-43m

extended XYZ file:
```
4
Lattice="-0.302 4.338 0.816 -3.854 1.744 1.295 -0.491 1.441 4.154" Properties=species:S:1:pos:R:3 pbc="T T T"
Fe 0.000 0.000 0.000
Fe -3.485 5.642 4.699
Os -2.324 3.762 3.132
Tl -1.162 1.881 1.566
```



Entry 3:
# Zn2Ga7Ag2

A geometry-optimized Zn2Ga7Ag2 structure (GGA-PBE, Alexandria).

Output
Fermi-level density of states (states/eV/cell): 4.488
Size of the total moment (μB per atom): 0.000
Distance to the lowest polymorph of the same formula (meV/atom): 0
Crystal system: monoclinic
Space group: C2/c

extended XYZ file:
```
22
Lattice="-4.496 2.836 -3.307 1.012 -5.770 -2.207 1.613 3.807 21.699" Properties=species:S:1:pos:R:3 pbc="T T T"
Zn -0.726 -0.772 7.526
Zn -0.811 -2.040 -1.963
Zn -1.059 2.912 18.148
Zn -1.144 1.645 8.659
Ga -2.685 0.481 3.689
Ga -0.049 -2.109 0.696
Ga -1.616 1.354 5.939
Ga -3.626 3.058 2.211
Ga -0.327 -0.039 14.848
Ga -1.187 2.833 11.157
Ga 0.653 0.973 17.080
Ga -2.523 -0.101 -0.895
Ga -0.683 -1.961 5.028
Ga -1.543 0.911 1.337
Ga 1.756 -2.186 13.974
Ga -0.254 -0.481 10.246
Ga -1.821 2.981 15.489
Ga 0.815 0.391 12.496
Ag 0.427 -0.566 2.871
Ag 0.150 3.029 13.505
Ag -2.020 -2.157 2.681
Ag -2.297 1.439 13.314
```



Entry 4:
# Ag4TeAu

A geometry-optimized Ag4TeAu structure (GGA-PBE, Alexandria).

Output
Fermi-level density of states (states/eV/cell): 4.213
Size of the total moment (μB per atom): 0.000
Crystal system: cubic
Space group: F-43m
ΔE_f (raw) (eV per atom): 0.19

extended XYZ file:
```
6
Lattice="0.865 -5.355 -1.248 -4.306 -3.293 -1.267 -0.694 -1.787 -5.226" Properties=species:S:1:pos:R:3 pbc="T T T"
Ag -1.121 -6.586 -3.528
Ag -1.898 -4.808 -5.511
Ag -3.698 -5.559 -3.538
Ag -1.552 -3.917 -2.906
Te 0.000 0.000 0.000
Au -3.101 -7.826 -5.806
```



Entry 5:
# TlZnIn14

A geometry-optimized TlZnIn14 structure (GGA-PBE, Alexandria).

Output
Fermi-level density of states (states/eV/cell): 5.198
Size of the total moment (μB per atom): 0.000
Crystal system: tetragonal
Space group: P4/mmm
E (eV per atom): -2.586

extended XYZ file:
```
16
Lattice="7.319 -0.016 0.000 0.016 7.319 0.000 0.000 0.000 8.132" Properties=species:S:1:pos:R:3 pbc="T T T"
Tl 6.418 6.391 4.066
Zn 2.750 2.739 4.066
In 6.418 6.391 0.000
In 2.751 2.739 0.000
In 6.410 2.731 4.066
In 6.410 2.731 0.000
In 2.758 6.399 4.066
In 2.758 6.399 0.000
In 4.512 0.970 2.079
In 4.512 0.970 6.053
In 0.989 4.508 2.079
In 0.989 4.508 6.053
In 4.519 4.500 2.080
In 4.519 4.500 6.053
In 0.982 0.978 2.080
In 0.982 0.978 6.053
```



Entry 6:
# BaMg2Ag9

A geometry-optimized BaMg2Ag9 structure (GGA-PBE, Alexandria).

Output
Fermi-level density of states (states/eV/cell): 9.504
Size of the total moment (μB per atom): 0.000
Crystal system: tetragonal
Space group: I4_1/amd
E (eV per atom): -2.712

extended XYZ file:
```
24
Lattice="1.843 0.460 7.284 3.940 -7.367 3.358 8.255 3.220 1.598" Properties=species:S:1:pos:R:3 pbc="T T T"
Ba 0.922 0.230 3.642
Ba 6.559 -1.958 4.299
Mg 8.790 0.976 8.412
Mg 6.632 -4.318 9.292
Mg 4.662 -0.634 7.613
Mg 9.838 -2.938 6.448
Ag 7.480 -1.729 7.941
Ag 0.000 0.000 0.000
Ag 9.180 -4.586 4.259
Ag 4.154 0.723 5.195
Ag 6.746 0.931 6.471
Ag 7.510 -4.564 6.625
Ag 9.436 -3.890 9.070
Ag 4.386 0.149 2.313
Ag 6.453 -5.663 4.102
Ag 6.447 1.692 3.639
Ag 10.496 -1.290 8.638
Ag 3.326 -2.451 2.746
Ag 8.990 0.561 3.067
Ag 3.911 -4.532 4.674
Ag 10.240 -1.985 3.826
Ag 3.094 -1.878 5.628
Ag 4.967 -3.432 7.197
Ag 9.288 -0.201 5.899
```